DFT (PBE) results for a relaxed Nd3ScSn2 crystal.

Unit cell a=6.517 b=6.467 c=9.717 alpha=109.44 beta=109.59 gamma=90.00
Atoms (fractional coordinates):
Nd (0.500, 0.750, 0.000)
Nd (0.433, 0.675, 0.350)
Nd (0.917, 0.175, 0.350)
Nd (0.567, 0.325, 0.650)
Nd (0.500, 0.250, 0.000)
Nd (0.083, 0.825, 0.650)
Sn (0.099, 0.367, 0.734)
Sn (0.634, 0.867, 0.734)
Sn (0.901, 0.633, 0.266)
Sn (0.366, 0.133, 0.266)
Sc (0.000, 0.250, 0.000)
Sc (0.000, 0.750, 0.000)

Computed properties:
VASP energy: -5.3498 eV per atom
Energy of formation from the pure elements: -0.576 eV/atom
Density of states at the Fermi level: 19.55 states/eV per cell
E above lowest polymorph: 0.142 eV/f.u.

---

DFT (PBE) results for a relaxed NdScTlSn crystal.

Unit cell a=5.318 b=5.318 c=5.318 alpha=60.00 beta=60.00 gamma=60.00
Atoms (fractional coordinates):
Tl (0.750, 0.750, 0.750)
Sc (0.500, 0.500, 0.500)
Nd (0.000, 0.000, 0.000)
Sn (0.250, 0.250, 0.250)

Computed properties:
VASP energy: -4.7733 eV per atom
Energy of formation from the pure elements: -0.406 eV/atom
Density of states at the Fermi level: 3.99 states/eV per cell

---

DFT (PBE) results for a relaxed NdSc2Zn2Sn2 crystal.

Unit cell a=4.692 b=4.692 c=8.930 alpha=74.77 beta=74.77 gamma=60.00
Atoms (fractional coordinates):
Sc (0.864, 0.864, 0.407)
Sc (0.136, 0.136, 0.593)
Nd (0.000, 0.000, 0.000)
Sn (0.740, 0.740, 0.780)
Sn (0.260, 0.260, 0.220)
Zn (0.557, 0.557, 0.330)
Zn (0.443, 0.443, 0.670)

Computed properties:
VASP energy: -4.3691 eV per atom
Energy of formation from the pure elements: -0.371 eV/atom
Density of states at the Fermi level: 7.47 states/eV per cell

---

DFT (PBE) results for a relaxed NdScZnSn crystal.

Unit cell a=5.139 b=5.139 c=5.139 alpha=60.00 beta=60.00 gamma=60.00
Atoms (fractional coordinates):
Nd (0.500, 0.500, 0.500)
Zn (0.250, 0.250, 0.250)
Sn (0.750, 0.750, 0.750)
Sc (0.000, 0.000, 0.000)

Computed properties:
VASP energy: -4.5601 eV per atom
Energy of formation from the pure elements: -0.466 eV/atom
Density of states at the Fermi level: 2.07 states/eV per cell

---

DFT (PBE) results for a relaxed SrNd2Sc crystal.

Unit cell a=3.620 b=3.620 c=12.956 alpha=81.97 beta=81.97 gamma=60.00
Atoms (fractional coordinates):
Nd (0.904, 0.904, 0.289)
Nd (0.096, 0.096, 0.711)
Sc (0.500, 0.500, 0.500)
Sr (0.000, 0.000, 0.000)

Computed properties:
VASP energy: -4.1545 eV per atom
Energy of formation from the pure elements: 0.233 eV/atom
Density of states at the Fermi level: 6.06 states/eV per cell
E above lowest polymorph: 0.554 eV/f.u.

---

DFT (PBE) results for a relaxed SrNd2Sc crystal.

Unit cell a=3.971 b=3.971 c=9.307 alpha=90.00 beta=90.00 gamma=90.00
Atoms (fractional coordinates):
Sr (0.500, 0.500, 0.500)
Sc (0.500, 0.500, 0.000)
Nd (0.000, 0.000, 0.804)
Nd (0.000, 0.000, 0.196)

Computed properties:
VASP energy: -4.2930 eV per atom
Energy of formation from the pure elements: 0.094 eV/atom
Density of states at the Fermi level: 4.62 states/eV per cell
E above lowest polymorph: 0.000 eV/f.u.

---

DFT (PBE) results for a relaxed SrNd2Sc crystal.

Unit cell a=3.681 b=3.681 c=12.278 alpha=81.38 beta=81.38 gamma=60.00
Atoms (fractional coordinates):
Nd (0.260, 0.260, 0.220)
Nd (0.074, 0.074, 0.779)
Sc (0.667, 0.667, 0.000)
Sr (0.500, 0.500, 0.501)

Computed properties:
VASP energy: -4.2427 eV per atom
Energy of formation from the pure elements: 0.145 eV/atom
Density of states at the Fermi level: 5.35 states/eV per cell
E above lowest polymorph: 0.201 eV/f.u.

---

DFT (PBE) results for a relaxed NdSc2Ta crystal.

Unit cell a=3.720 b=3.720 c=7.089 alpha=90.00 beta=90.00 gamma=90.00
Atoms (fractional coordinates):
Sc (0.000, 0.000, 0.797)
Sc (0.000, 0.000, 0.203)
Nd (0.500, 0.500, 0.500)
Ta (0.500, 0.500, 0.000)

Computed properties:
VASP energy: -7.0834 eV per atom
Energy of formation from the pure elements: 0.238 eV/atom
Density of states at the Fermi level: 4.67 states/eV per cell

---

DFT (PBE) results for a relaxed NdScTa crystal.

Unit cell a=3.250 b=3.171 c=16.370 alpha=90.00 beta=90.00 gamma=120.83
Atoms (fractional coordinates):
Sc (0.325, 0.649, 0.500)
Sc (0.546, 0.092, 0.000)
Nd (0.223, 0.446, 0.814)
Nd (0.223, 0.446, 0.186)
Ta (0.675, 0.350, 0.351)
Ta (0.675, 0.350, 0.649)

Computed properties:
VASP energy: -7.2676 eV per atom
Energy of formation from the pure elements: 0.383 eV/atom
Density of states at the Fermi level: 8.05 states/eV per cell

---

DFT (PBE) results for a relaxed Tb5Nd6Sc2 crystal.

Unit cell a=3.507 b=10.855 c=22.629 alpha=90.00 beta=90.00 gamma=90.00
Atoms (fractional coordinates):
Nd (0.500, 0.665, 0.860)
Nd (0.000, 0.138, 0.384)
Nd (0.000, 0.362, 0.884)
Nd (0.500, 0.335, 0.140)
Nd (0.000, 0.638, 0.116)
Nd (0.500, 0.835, 0.360)
Nd (0.500, 0.165, 0.640)
Nd (0.000, 0.862, 0.616)
Nd (0.000, 0.532, 0.387)
Nd (0.000, 0.032, 0.113)
Nd (0.000, 0.968, 0.887)
Nd (0.000, 0.468, 0.613)
Sc (0.000, 0.665, 0.727)
Sc (0.000, 0.335, 0.273)
Sc (0.000, 0.835, 0.227)
Sc (0.000, 0.165, 0.773)
Tb (0.500, 0.585, 0.251)
Tb (0.500, 0.165, 0.992)
Tb (0.500, 0.835, 0.008)
Tb (0.500, 0.500, 0.000)
Tb (0.500, 0.000, 0.500)
Tb (0.500, 0.335, 0.492)
Tb (0.500, 0.415, 0.749)
Tb (0.500, 0.665, 0.508)
Tb (0.500, 0.915, 0.751)
Tb (0.500, 0.085, 0.249)

Computed properties:
VASP energy: -4.8068 eV per atom
Energy of formation from the pure elements: 0.149 eV/atom
Density of states at the Fermi level: 38.97 states/eV per cell

---

DFT (PBE) results for a relaxed Tb6NdSc2 crystal.

Unit cell a=11.992 b=7.219 c=7.219 alpha=86.20 beta=71.03 gamma=71.03
Atoms (fractional coordinates):
Tb (0.854, 0.360, 0.763)
Tb (0.431, 0.262, 0.054)
Tb (0.354, 0.763, 0.360)
Tb (0.569, 0.738, 0.946)
Tb (0.604, 0.768, 0.488)
Tb (0.896, 0.512, 0.232)
Tb (0.646, 0.237, 0.640)
Tb (0.396, 0.232, 0.512)
Tb (0.146, 0.640, 0.237)
Tb (0.931, 0.054, 0.262)
Tb (0.104, 0.488, 0.768)
Tb (0.069, 0.946, 0.738)
Nd (0.250, 0.045, 0.955)
Nd (0.750, 0.955, 0.045)
Sc (0.139, 0.220, 0.392)
Sc (0.861, 0.780, 0.608)
Sc (0.639, 0.392, 0.220)
Sc (0.361, 0.608, 0.780)

Computed properties:
VASP energy: -4.8302 eV per atom
Energy of formation from the pure elements: 0.193 eV/atom
Density of states at the Fermi level: 27.00 states/eV per cell
E above lowest polymorph: 0.577 eV/f.u.

---

DFT (PBE) results for a relaxed TbNd3Sc6 crystal.

Unit cell a=6.607 b=9.412 c=9.412 alpha=93.55 beta=90.00 gamma=90.00
Atoms (fractional coordinates):
Sc (0.314, 0.520, 0.948)
Sc (0.250, 0.992, 0.008)
Sc (0.314, 0.052, 0.480)
Sc (0.814, 0.948, 0.520)
Sc (0.201, 0.728, 0.499)
Sc (0.201, 0.501, 0.272)
Sc (0.814, 0.480, 0.052)
Sc (0.510, 0.209, 0.791)
Sc (0.750, 0.008, 0.992)
Sc (0.701, 0.499, 0.728)
Sc (0.010, 0.791, 0.209)
Sc (0.701, 0.272, 0.501)
Nd (0.211, 0.404, 0.596)
Nd (0.986, 0.754, 0.832)
Nd (0.486, 0.832, 0.754)
Nd (0.986, 0.168, 0.246)
Nd (0.711, 0.596, 0.404)
Nd (0.486, 0.246, 0.168)
Tb (0.514, 0.806, 0.194)
Tb (0.014, 0.194, 0.806)

Computed properties:
VASP energy: -5.4645 eV per atom
Energy of formation from the pure elements: 0.228 eV/atom
Density of states at the Fermi level: 33.36 states/eV per cell